Te7Ir: optimized geometry, PBE.

## Properties
E_tot: -101.10 eV/cell
Crystal system: cubic
Total magnetic moment: 0.0 μB/f.u.
DOS at the Fermi energy: 42.79 states/eV/cell
Mass density: 8.7 Mg/m³

abc: 9.376 9.376 9.376
angles: 90.00 90.00 90.00
Space group Fm-3m (No. 225)
One atom of each set of equivalent atoms:
Te (0.000, 0.000, 0.000) [4 per cell]
Te (0.000, 0.250, 0.250) [24 per cell]
Ir (0.000, 0.000, 0.500) [4 per cell]

PtW3: optimized geometry, PBE.

## Properties
E_tot: -44.97 eV/cell
DFT formation energy: -0.07 eV/f.u.
Crystal system: cubic
Total magnetic moment: 0.0 μB/f.u.
DOS at the Fermi energy: 3.48 states/eV/cell
Mass density: 19.5 Mg/m³

abc: 3.988 3.988 3.988
angles: 90.00 90.00 90.00
Space group Pm-3m (No. 221)
One atom of each set of equivalent atoms:
Pt (0.000, 0.000, 0.000) [1 per cell]
W (0.000, 0.500, 0.500) [3 per cell]

MgBe2Al: optimized geometry, PBE.

## Properties
E_tot: -44.14 eV/cell
DFT formation energy: 1.75 eV/f.u.
Crystal system: cubic
Total magnetic moment: 0.0 μB/f.u.
Relative energy among the computed polymorphs: 389.9 meV/atom
DOS at the Fermi energy: 2.22 states/eV/cell
Mass density: 2.1 Mg/m³

abc: 6.030 6.030 6.030
angles: 90.00 90.00 90.00
Space group F-43m (No. 216)
One atom of each set of equivalent atoms:
Mg (0.000, 0.000, 0.000) [4 per cell]
Be (0.000, 0.000, 0.500) [4 per cell]
Be (0.250, 0.250, 0.250) [4 per cell]
Al (0.250, 0.250, 0.750) [4 per cell]

Question: The lowest E_tot belongs to which entry?
Answer: Te7Ir